! K2MgMo meta-GGA SCAN PBEsol geometry; values from VASP
! * density: 3.19 g cm⁻³
! * V: 25.8 Å³/atom
! * uncorrected energy: -51.8 eV/cell
! * calculated formation energy: 1.173 eV per atom
&SYSTEM
  ibrav = 0, nat = 4, ntyp = 3
/
ATOMIC_SPECIES
K 39.10 K.upf
Mg 24.30 Mg.upf
Mo 95.94 Mo.upf
CELL_PARAMETERS angstrom
2.834 0.000 0.000
0.000 6.183 0.000
-0.243 0.000 5.899
ATOMIC_POSITIONS crystal
K 0.217 0.000 0.244
K 0.783 0.000 0.756
Mg 0.000 0.500 0.500
Mo 0.500 0.500 0.000